[1]
# UBAs

UBAs after structural relaxation (PBE, OQMD).

Geometry as POSCAR:
```
UBAs
1.0
0.000 3.080 3.080
3.080 0.000 3.080
3.080 3.080 0.000
U B As
1 1 1
Direct
0.000 0.000 0.000
0.250 0.250 0.250
0.750 0.750 0.750
```

Energy in eV per atom: -7.10
Total magnetic moment in μB per formula unit: 0.038
SG: F-43m



[2]
# HfGaCo

HfGaCo after structural relaxation (PBE, OQMD).

Geometry as POSCAR:
```
HfGaCo
1.0
6.923 0.000 0.000
-3.461 5.995 0.000
0.000 0.000 3.303
Hf Ga Co
3 3 3
Direct
0.000 0.598 0.000
0.402 0.402 0.000
0.598 0.000 0.000
0.000 0.264 0.500
0.264 0.000 0.500
0.736 0.736 0.500
0.000 0.000 0.000
0.333 0.667 0.500
0.667 0.333 0.500
```

Energy in eV per atom: -7.25
Total magnetic moment in μB per formula unit: 0.012
SG: P-62m



[3]
# LiTe2PtAuS

LiTe2PtAuS after structural relaxation (PBE, OQMD).

Geometry as POSCAR:
```
LiTe2PtAuS
1.0
2.054 -6.385 0.000
2.054 6.385 0.000
0.000 0.000 10.392
Li Te Pt Au S
2 4 2 2 2
Direct
0.153 0.847 0.750
0.847 0.153 0.250
0.135 0.865 0.011
0.135 0.865 0.489
0.865 0.135 0.511
0.865 0.135 0.989
0.500 0.500 0.000
0.500 0.500 0.500
0.189 0.811 0.250
0.811 0.189 0.750
0.445 0.555 0.250
0.555 0.445 0.750
```

Energy in eV per atom: -3.89
Total magnetic moment in μB per formula unit: 0.001
SG: Cmcm



[4]
# AgBTe

AgBTe after structural relaxation (PBE, OQMD).

Geometry as POSCAR:
```
AgBTe
1.0
0.000 3.229 3.229
3.229 0.000 3.229
3.229 3.229 0.000
Ag B Te
1 1 1
Direct
0.000 0.000 0.000
0.500 0.500 0.500
0.250 0.250 0.250
```

Energy in eV per atom: -3.05
SG: F-43m



[5]
# PuHgPd

PuHgPd after structural relaxation (PBE, OQMD).

Geometry as POSCAR:
```
PuHgPd
1.0
0.000 3.394 3.394
3.394 0.000 3.394
3.394 3.394 0.000
Pu Hg Pd
1 1 1
Direct
0.000 0.000 0.000
0.750 0.750 0.750
0.250 0.250 0.250
```

ΔE_f in eV/atom: 0.11
Energy in eV per atom: -6.43
Total magnetic moment in μB per formula unit: 5.656
SG: F-43m



[6]
# RbScHg

RbScHg after structural relaxation (PBE, OQMD).

Geometry as POSCAR:
```
RbScHg
1.0
0.000 3.920 3.920
3.920 0.000 3.920
3.920 3.920 0.000
Rb Sc Hg
1 1 1
Direct
0.000 0.000 0.000
0.250 0.250 0.250
0.750 0.750 0.750
```

Energy in eV per atom: -1.60
Total magnetic moment in μB per formula unit: 1.590
SG: F-43m



[7]
# Nb2CoCu

Nb2CoCu after structural relaxation (PBE, OQMD).

Geometry as POSCAR:
```
Nb2CoCu
1.0
0.000 3.089 3.089
3.089 0.000 3.089
3.089 3.089 0.000
Nb Co Cu
2 1 1
Direct
0.000 0.000 0.000
0.250 0.250 0.250
0.500 0.500 0.500
0.750 0.750 0.750
```

ΔE_f in eV/atom: 0.27
Energy in eV per atom: -7.48
Total magnetic moment in μB per formula unit: 1.232
SG: F-43m



[8]
# MgCdAgAu

MgCdAgAu after structural relaxation (PBE, OQMD).

Geometry as POSCAR:
```
MgCdAgAu
1.0
0.000 3.345 3.345
3.345 0.000 3.345
3.345 3.345 0.000
Mg Cd Ag Au
1 1 1 1
Direct
0.000 0.000 0.000
0.500 0.500 0.500
0.250 0.250 0.250
0.750 0.750 0.750
```

Energy in eV per atom: -2.45
SG: F-43m



[9]
# Zr2Nb4Co3C3

Zr2Nb4Co3C3 after structural relaxation (PBE, OQMD).

Geometry as POSCAR:
```
Zr2Nb4Co3C3
1.0
4.699 -2.709 0.000
4.699 2.709 0.000
-3.248 0.000 13.048
Zr Nb Co C
4 8 6 6
Direct
0.041 0.876 0.619
0.124 0.959 0.881
0.876 0.041 0.119
0.959 0.124 0.381
0.197 0.361 0.092
0.297 0.474 0.408
0.361 0.197 0.592
0.474 0.297 0.908
0.526 0.703 0.092
0.639 0.803 0.408
0.703 0.526 0.592
0.803 0.639 0.908
0.086 0.401 0.750
0.401 0.086 0.250
0.425 0.575 0.250
0.575 0.425 0.750
0.599 0.914 0.750
0.914 0.599 0.250
0.000 0.500 0.500
0.165 0.669 0.000
0.331 0.835 0.500
0.500 0.000 0.000
0.669 0.165 0.500
0.835 0.331 0.000
```

Energy in eV per atom: -9.24
Total magnetic moment in μB per formula unit: 1.158
SG: C2/c



[10]
# LiZrBe

LiZrBe after structural relaxation (PBE, OQMD).

Geometry as POSCAR:
```
LiZrBe
1.0
0.000 3.000 3.000
3.000 0.000 3.000
3.000 3.000 0.000
Li Zr Be
1 1 1
Direct
0.000 0.000 0.000
0.750 0.750 0.750
0.500 0.500 0.500
```

Energy in eV per atom: -3.80
Total magnetic moment in μB per formula unit: 0.004
SG: F-43m



[11]
# Pa

Pa after structural relaxation (PBE, OQMD).

Geometry as POSCAR:
```
Pa
1.0
-2.727 2.727 1.688
2.727 -2.727 1.688
2.727 2.727 -1.688
Pa
2
Direct
0.375 0.625 0.750
0.625 0.375 0.250
```

ΔE_f in eV/atom: 0.51
Energy in eV per atom: -8.98
Total magnetic moment in μB per formula unit: 0.010
SG: I4_1/amd



[12]
# TbHoAl3Si2

TbHoAl3Si2 after structural relaxation (PBE, OQMD).

Geometry as POSCAR:
```
TbHoAl3Si2
1.0
5.089 -2.025 0.000
5.089 2.025 0.000
-1.271 0.000 6.492
Tb Ho Al Si
1 1 3 2
Direct
0.000 0.000 0.000
0.761 0.761 0.355
0.075 0.075 0.543
0.380 0.380 0.677
0.686 0.686 0.810
0.287 0.287 0.038
0.473 0.473 0.319
```

Energy in eV per atom: -5.02
Total magnetic moment in μB per formula unit: 0.002
SG: Cm